This record from Alexandria via LeMat-Bulk describes a relaxed FeCoHg2 crystal. The functional is PBEsol.

Cell: 2.9743 2.9763 7.1218 Å, 90.00 90.00 90.00°
Closest atoms and distances in Å follow each position.
Atoms (fractional coordinates):
1 Co 0.0000 0.0000 0.5450  4 Fe 2.38
2 Fe 0.5000 0.5000 0.7021  4 Co 2.38
3 Hg 0.0000 0.0000 0.9600  4 Fe 2.79, 1 Co 2.96, 4 Hg 2.97-2.98
4 Hg 0.5000 0.5000 0.2928  4 Co 2.77, 1 Fe 2.91, 4 Hg 2.97-2.98

Computed properties:
ΔE_f (meV/atom): 251
Relative energy among the computed polymorphs (meV per atom): 0